# 1
Density functional theory data (GGA-PBE) for crystalline LuCdSnPt at its relaxed geometry.

Values from the calculation:
Crystal system: cubic
Calculated formation energy (eV per atom): -0.550

```
data_LuCdSnPt
_chemical_formula_sum 'Lu4 Cd4 Sn4 Pt4'
_cell_length_a 6.949
_cell_length_b 6.949
_cell_length_c 6.949
_cell_angle_alpha 90.00
_cell_angle_beta 90.00
_cell_angle_gamma 90.00
_symmetry_space_group_name_H-M 'F -4 3 m'
_symmetry_Int_Tables_number 216
_symmetry_space_group_name_Hall 'F -4 2 3'
loop_
_atom_site_label
_atom_site_type_symbol
_atom_site_fract_x
_atom_site_fract_y
_atom_site_fract_z
_atom_site_occupancy
Lu1 Lu 0.000 0.000 0.000 1
Cd1 Cd 0.250 0.250 0.250 1
Sn1 Sn 0.000 0.000 0.500 1
Pt1 Pt 0.250 0.250 0.750 1
```

# 2
Density functional theory data (GGA-PBE) for crystalline PCSe2 at its relaxed geometry.

Values from the calculation:
Crystal system: tetragonal
Energy above the most stable polymorph in this dataset (eV per atom): 0.078

```
data_PCSe2
_chemical_formula_sum 'P4 C4 Se8'
_cell_length_a 6.099
_cell_length_b 6.099
_cell_length_c 7.843
_cell_angle_alpha 90.00
_cell_angle_beta 90.00
_cell_angle_gamma 90.00
_symmetry_space_group_name_H-M 'I -4 2 d'
_symmetry_Int_Tables_number 122
_symmetry_space_group_name_Hall 'I -4 2bw'
loop_
_atom_site_label
_atom_site_type_symbol
_atom_site_fract_x
_atom_site_fract_y
_atom_site_fract_z
_atom_site_occupancy
P1 P 0.000 0.000 0.000 1
C1 C 0.000 0.000 0.500 1
Se1 Se 0.194 0.250 0.625 1
```

# 3
Density functional theory data (GGA-PBE) for crystalline LiAcIr at its relaxed geometry.

Values from the calculation:
Crystal system: hexagonal
Energy above the most stable polymorph in this dataset (eV per atom): 0.109
Calculated formation energy (eV per atom): -0.323

```
data_LiAcIr
_chemical_formula_sum 'Li1 Ac1 Ir1'
_cell_length_a 4.3926
_cell_length_b 4.3926
_cell_length_c 4.0740
_cell_angle_alpha 90.00
_cell_angle_beta 90.00
_cell_angle_gamma 120.00
_symmetry_space_group_name_H-M 'P -6 m 2'
_symmetry_Int_Tables_number 187
_symmetry_space_group_name_Hall 'P -6 2'
loop_
_atom_site_label
_atom_site_type_symbol
_atom_site_fract_x
_atom_site_fract_y
_atom_site_fract_z
_atom_site_occupancy
Li1 Li 0.0000 0.0000 0.0000 1
Ac1 Ac 0.3333 0.6667 0.5000 1
Ir1 Ir 0.6667 0.3333 0.0000 1
```

Magnetic moment / μB/cell: 0.00; 0.00; 0.00